Material: CrIn2AsOs
Method: DFT, GGA-PBE
State: optimized geometry

Unit cell a=5.0932 b=5.0932 c=4.4455 alpha=90.00 beta=90.00 gamma=90.00
Positions (direct):
Cr (0.0000, 0.0000, 0.0000)
In (0.0000, 0.5000, 0.0000)
In (0.5000, 0.0000, 0.0000)
As (0.0000, 0.0000, 0.5000)
Os (0.5000, 0.5000, 0.5000)

## Properties
ΔH_f (0 K): 1.24 eV/atom
symmetry: No. 123
crystal system: tetragonal

***

Material: PrPa2Se6
Method: DFT, GGA-PBE
State: optimized geometry

Unit cell a=9.0410 b=9.0410 c=7.4360 alpha=109.45 beta=109.45 gamma=77.47
Positions (direct):
Pr (0.1690, 0.8310, 0.7500)
Pr (0.8310, 0.1690, 0.2500)
Pa (0.1883, 0.3427, 0.0865)
Pa (0.3427, 0.1883, 0.5865)
Pa (0.6573, 0.8117, 0.4135)
Pa (0.8117, 0.6573, 0.9135)
Se (0.0703, 0.1692, 0.6761)
Se (0.1396, 0.6085, 0.9616)
Se (0.1692, 0.0703, 0.1761)
Se (0.2526, 0.4813, 0.4969)
Se (0.3915, 0.8604, 0.5384)
Se (0.4813, 0.2526, 0.9969)
Se (0.5187, 0.7474, 0.0031)
Se (0.6085, 0.1396, 0.4616)
Se (0.7474, 0.5187, 0.5031)
Se (0.8308, 0.9297, 0.8239)
Se (0.8604, 0.3915, 0.0384)
Se (0.9297, 0.8308, 0.3239)

## Properties
energy relative to the elements, uncorrected: -1.44 eV/atom
symmetry: No. 15
excess energy over the best structure of this formula in the dataset: 0.0000 eV/atom
crystal system: monoclinic

***

Material: MnNb2Rh5
Method: DFT, GGA-PBE
State: optimized geometry

Unit cell a=5.4997 b=10.9345 c=3.9691 alpha=90.00 beta=90.00 gamma=90.00
Positions (direct):
Mn (0.0000, 0.0000, 0.0000)
Mn (0.5000, 0.5000, 0.0000)
Nb (0.2167, 0.3669, 0.5000)
Nb (0.2833, 0.8669, 0.5000)
Nb (0.7167, 0.1331, 0.5000)
Nb (0.7833, 0.6331, 0.5000)
Rh (0.0000, 0.5000, 0.0000)
Rh (0.0309, 0.7529, 0.0000)
Rh (0.2236, 0.1171, 0.5000)
Rh (0.2764, 0.6171, 0.5000)
Rh (0.4691, 0.2529, 0.0000)
Rh (0.5000, 0.0000, 0.0000)
Rh (0.5309, 0.7471, 0.0000)
Rh (0.7236, 0.3829, 0.5000)
Rh (0.7764, 0.8829, 0.5000)
Rh (0.9691, 0.2471, 0.0000)

## Properties
ΔH_f (0 K): -0.44 eV/atom
symmetry: No. 55
crystal system: orthorhombic

***

Material: InGa4Pd7
Method: DFT, GGA-PBE
State: optimized geometry

Unit cell a=6.2362 b=6.2362 c=9.1156 alpha=122.17 beta=122.17 gamma=45.45
Positions (direct):
In (0.0000, 0.0000, 0.0000)
Ga (0.2808, 0.2808, 0.6641)
Ga (0.4188, 0.4188, 0.2192)
Ga (0.5812, 0.5812, 0.7808)
Ga (0.7192, 0.7192, 0.3359)
Pd (0.0751, 0.0751, 0.3380)
Pd (0.2145, 0.2145, 0.8817)
Pd (0.3563, 0.3563, 0.4414)
Pd (0.5000, 0.5000, 0.0000)
Pd (0.6437, 0.6437, 0.5586)
Pd (0.7855, 0.7855, 0.1183)
Pd (0.9249, 0.9249, 0.6620)

## Properties
ΔH_f (0 K): -0.39 eV/atom
symmetry: No. 12
crystal system: monoclinic

***

no.,DOS at the Fermi energy (states/eV/cell),electronic total energy (eV per cell)
1,4.61,-24.8
2,14.72,-115.2
3,12.58,-139.2
4,4.18,-55.9